Compound: Ca2TlCl
Source: Alexandria via LeMat-Bulk
Functional: GGA-PBE
Structure: relaxed

a b c (Å): 7.275 7.275 7.275
angles (deg): 145.09 145.09 50.20
Element x y z (fractional)
Cl: 0.500 0.500 0.000
Ca: 0.000 0.000 0.000
Ca: 0.250 0.750 0.500
Tl: 0.750 0.250 0.500

Results
Uncorrected formation energy: -0.74 eV/atom
Energy above the most stable polymorph in this dataset: 310.6 meV per atom
SG: I-4m2, No. 119

Compound: PaHg2SbO6
Source: Alexandria via LeMat-Bulk
Functional: GGA-PBE
Structure: relaxed

a b c (Å): 5.897 5.897 6.163
angles (deg): 61.42 61.42 60.00
Element x y z (fractional)
Hg: 0.061 0.061 0.816
O: 0.690 0.056 0.802
O: 0.942 0.576 0.301
Pa: 0.816 0.816 0.552
O: 0.576 0.180 0.301
Sb: 0.316 0.316 0.051
O: 0.452 0.690 0.802
O: 0.056 0.452 0.802
O: 0.180 0.942 0.301
Hg: 0.571 0.571 0.288

Results
Uncorrected formation energy: -1.61 eV/atom
SG: R-3, No. 148

Compound: LaCeSnPb
Source: Alexandria via LeMat-Bulk
Functional: GGA-PBE
Structure: relaxed

a b c (Å): 5.582 5.582 5.582
angles (deg): 60.00 60.00 60.00
Element x y z (fractional)
Sn: 0.250 0.250 0.250
Ce: 0.500 0.500 0.500
La: 0.000 0.000 0.000
Pb: 0.750 0.750 0.750

Results
ΔE_f: -0.49 eV per atom
Energy above the most stable polymorph in this dataset: 0.0 meV per atom
SG: F-43m, No. 216

Compound: HoMg5Cd6
Source: Alexandria via LeMat-Bulk
Functional: GGA-PBE
Structure: relaxed

a b c (Å): 4.813 7.657 7.662
angles (deg): 90.00 90.00 71.68
Element x y z (fractional)
Cd: 0.170 0.660 0.748
Mg: 0.666 0.669 0.000
Cd: 0.170 0.660 0.252
Ho: 0.000 0.000 0.000
Cd: 0.830 0.340 0.252
Mg: 0.669 0.662 0.500
Cd: 0.500 0.000 0.266
Cd: 0.500 0.000 0.734
Mg: 0.331 0.338 0.500
Mg: 0.000 0.000 0.500
Cd: 0.830 0.340 0.748
Mg: 0.334 0.331 0.000

Results
ΔE_f: -0.15 eV per atom
SG: Cmmm, No. 65

Compound: Cs3Sb2Pb5
Source: Alexandria via LeMat-Bulk
Functional: GGA-PBE
Structure: relaxed

a b c (Å): 7.925 11.325 11.325
angles (deg): 66.93 69.52 69.52
Element x y z (fractional)
Pb: 0.890 0.460 0.759
Sb: 0.835 0.279 0.051
Pb: 0.610 0.241 0.540
Pb: 0.473 0.277 0.277
Sb: 0.665 0.949 0.721
Pb: 0.973 0.277 0.277
Cs: 0.141 0.096 0.622
Pb: 0.750 0.500 0.500
Pb: 0.250 0.500 0.500
Pb: 0.527 0.723 0.723
Cs: 0.641 0.622 0.096
Cs: 0.750 0.000 0.000
Pb: 0.027 0.723 0.723
Cs: 0.250 0.000 0.000
Sb: 0.165 0.721 0.949
Pb: 0.390 0.759 0.460
Cs: 0.359 0.378 0.904
Pb: 0.110 0.540 0.241
Sb: 0.335 0.051 0.279
Cs: 0.859 0.904 0.378

Results
Uncorrected formation energy: -0.21 eV/atom
SG: Ibam, No. 72

Compound: Na2Sr2Ca15
Source: Alexandria via LeMat-Bulk
Functional: GGA-PBE
Structure: relaxed

a b c (Å): 9.661 9.661 9.661
angles (deg): 81.74 81.74 81.74
Element x y z (fractional)
Sr: 0.325 0.325 0.325
Ca: 0.313 0.687 0.000
Na: 0.909 0.909 0.909
Ca: 0.345 0.841 0.345
Ca: 0.000 0.000 0.500
Ca: 0.000 0.687 0.313
Ca: 0.687 0.313 0.000
Sr: 0.675 0.675 0.675
Ca: 0.687 0.000 0.313
Ca: 0.000 0.313 0.687
Ca: 0.000 0.500 0.000
Ca: 0.313 0.000 0.687
Ca: 0.655 0.159 0.655
Ca: 0.345 0.345 0.841
Na: 0.091 0.091 0.091
Ca: 0.655 0.655 0.159
Ca: 0.841 0.345 0.345
Ca: 0.500 0.000 0.000
Ca: 0.159 0.655 0.655

Results
ΔE_f: 0.12 eV per atom
SG: R-3m, No. 166

Compound: BaAgPb3
Source: Alexandria via LeMat-Bulk
Functional: GGA-PBE
Structure: relaxed

a b c (Å): 6.952 6.774 6.978
angles (deg): 90.00 90.00 90.00
Element x y z (fractional)
Ag: 0.146 0.779 0.701
Pb: 0.344 0.291 0.201
Pb: 0.968 0.462 0.455
Pb: 0.844 0.062 0.701
Pb: 0.468 0.891 0.955
Pb: 0.968 0.462 0.946
Pb: 0.468 0.890 0.446
Ag: 0.646 0.574 0.201
Ba: 0.953 0.962 0.201
Ba: 0.453 0.391 0.701

Results
ΔE_f: -0.22 eV per atom
SG: Pmn2_1, No. 31

Compound: Tb4PmSm15
Source: Alexandria via LeMat-Bulk
Functional: GGA-PBE
Structure: relaxed

a b c (Å): 5.115 5.115 25.552
angles (deg): 90.00 90.00 90.00
Element x y z (fractional)
Tb: 0.000 0.000 0.600
Sm: 0.000 0.500 0.300
Sm: 0.500 0.500 0.201
Sm: 0.500 0.000 0.101
Sm: 0.500 0.500 0.000
Sm: 0.500 0.000 0.899
Sm: 0.500 0.000 0.300
Tb: 0.000 0.000 0.799
Sm: 0.000 0.500 0.101
Sm: 0.500 0.500 0.799
Tb: 0.000 0.000 0.201
Sm: 0.500 0.500 0.400
Sm: 0.500 0.000 0.500
Sm: 0.000 0.500 0.899
Sm: 0.500 0.500 0.600
Sm: 0.000 0.500 0.500
Sm: 0.500 0.000 0.700
Pm: 0.000 0.000 0.000
Tb: 0.000 0.000 0.400
Sm: 0.000 0.500 0.700

Results
ΔE_f: 0.02 eV per atom
SG: P4/mmm, No. 123